## KVAg2O4 (GGA+U)

Data for a relaxed structure of KVAg2O4.

The total energy comes out at -44.1 eV/cell. The volume is 16.2 Å³ per atom. The value obtained for the size of the total moment is 0.000 μB per formula unit.

a = 5.9128 Å, b = 5.9128 Å, c = 5.5865 Å
α = 121.95°, β = 121.95°, γ = 90.01°
Closest atoms and distances in Å follow each position.
Element x y z (fractional)
K  0.0000  0.0000  0.0001  8 O 2.92-3.05
V  0.5000  0.5000  0.0000  4 O 1.76
Ag  0.7501  0.2501  0.5001  4 O 2.34
Ag  0.2501  0.7501  0.5001  4 O 2.34
O  0.5353  0.5353  0.7261  1 V 1.76
O  0.4648  0.8091  0.2739  1 V 1.76
O  0.8091  0.4648  0.2739  1 V 1.76
O  0.1909  0.1909  0.7261  1 V 1.76